No. 1
A plane-wave DFT calculation with SCAN was carried out for MgTeOs2 at its PBEsol-relaxed geometry.

Cell lengths 3.0213, 3.0213, 25.5727 Å; angles 90.00, 90.00, 120.00 degrees
Space group R-3m (No. 166, hexagonal axes)
One atom of each set of equivalent atoms:
Mg  0.0000  0.0000  0.0000
Te  0.0000  0.0000  0.5000
Os  0.0000  0.0000  0.2466

Results
Uncorrected energy = -549.52 eV/cell
Polymorph energy (0 for the lowest one) = 36.9 kJ/mol of atoms
Uncorrected formation energy = 0.70 eV per atom

***

No. 2
A plane-wave DFT calculation with SCAN was carried out for Cs2IrPb at its PBEsol-relaxed geometry.

Cell lengths 8.046, 8.046, 8.046 Å; angles 90.00, 90.00, 90.00 degrees
Space group Fm-3m (No. 225)
One atom of each set of equivalent atoms:
Cs  0.250  0.250  0.250
Ir  0.000  0.000  0.000
Pb  0.000  0.000  0.500

Results
Uncorrected energy = -872.52 eV/cell

***

No. 3
A plane-wave DFT calculation with SCAN was carried out for Hf2ScCdP at its PBEsol-relaxed geometry.

Cell lengths 4.893, 4.893, 5.062 Å; angles 90.00, 90.00, 90.00 degrees
Space group P4/mmm (No. 123)
One atom of each set of equivalent atoms:
Hf  0.000  0.500  0.000
Sc  0.000  0.000  0.000
Cd  0.000  0.000  0.500
P  0.500  0.500  0.500

Results
Uncorrected energy = -173.03 eV/cell

***

No. 4
A plane-wave DFT calculation with SCAN was carried out for TlRe3Mo at its PBEsol-relaxed geometry.

Cell lengths 4.744, 4.744, 4.744 Å; angles 90.00, 90.00, 90.00 degrees
Space group Pm-3m (No. 221)
One atom of each set of equivalent atoms:
Tl  0.000  0.000  0.000
Re  0.000  0.000  0.500
Mo  0.500  0.500  0.500

Results
Uncorrected energy = -302.24 eV/cell

***

No. 5
A plane-wave DFT calculation with SCAN was carried out for SrEr2O4 at its PBEsol-relaxed geometry.

Cell lengths 5.805, 3.200, 7.189 Å; angles 90.00, 91.80, 90.00 degrees
Space group Pm (No. 6)
One atom of each set of equivalent atoms:
Sr  0.000  0.000  0.000
Er  0.454  0.500  0.283
Er  0.964  0.500  0.496
O  0.234  0.000  0.398
O  0.276  0.500  0.040
O  0.735  0.000  0.301
O  0.911  0.000  0.682

Results
Uncorrected energy = -170.70 eV/cell
Polymorph energy (0 for the lowest one) = 44.7 kJ/mol of atoms
Uncorrected formation energy = -3.26 eV per atom

***

No. 6
A plane-wave DFT calculation with SCAN was carried out for Al2OsCl at its PBEsol-relaxed geometry.

Cell lengths 3.000, 3.064, 7.137 Å; angles 90.00, 90.00, 90.00 degrees
Space group Pmmm (No. 47)
One atom of each set of equivalent atoms:
Al  0.000  0.000  0.196
Os  0.500  0.500  0.000
Cl  0.500  0.000  0.500

Results
Uncorrected energy = -97.87 eV/cell
Uncorrected formation energy = -0.63 eV per atom

***

No. 7
A plane-wave DFT calculation with SCAN was carried out for U2Cl5O2 at its PBEsol-relaxed geometry.

Cell lengths 8.302, 13.634, 4.096 Å; angles 90.00, 90.00, 90.00 degrees
Space group Cmmm (No. 65)
One atom of each set of equivalent atoms:
U  0.000  0.199  0.000
Cl  0.000  0.000  0.000
Cl  0.189  0.361  0.000
O  0.000  0.199  0.500

Results
Uncorrected energy = -561.18 eV/cell
Uncorrected formation energy = -2.35 eV per atom

***

No. 8
A plane-wave DFT calculation with SCAN was carried out for AgHg2 at its PBEsol-relaxed geometry.

Cell lengths 11.177, 3.060, 7.126 Å; angles 90.00, 102.93, 90.00 degrees
Space group C2/m (No. 12)
One atom of each set of equivalent atoms:
Ag  0.032  0.000  0.308
Hg  0.136  0.500  0.034
Hg  0.181  0.500  0.631

Results
Uncorrected energy = -669.76 eV/cell
Polymorph energy (0 for the lowest one) = 3.8 kJ/mol of atoms

***

No. 9
A plane-wave DFT calculation with SCAN was carried out for NbBiNF2 at its PBEsol-relaxed geometry.

Cell lengths 4.419, 4.419, 4.506 Å; angles 90.00, 90.00, 90.00 degrees
Space group P4/mmm (No. 123)
One atom of each set of equivalent atoms:
Nb  0.000  0.000  0.000
Bi  0.500  0.500  0.500
N  0.500  0.500  0.000
F  0.000  0.500  0.500

Results
Uncorrected energy = -128.07 eV/cell
Uncorrected formation energy = 0.00 eV per atom

***

No. 10
A plane-wave DFT calculation with SCAN was carried out for TeSeN2Cl at its PBEsol-relaxed geometry.

Cell lengths 3.988, 3.988, 4.893 Å; angles 90.00, 90.00, 90.00 degrees
Space group P4/mmm (No. 123)
One atom of each set of equivalent atoms:
Te  0.000  0.000  0.000
Se  0.500  0.500  0.000
N  0.000  0.500  0.500
Cl  0.500  0.500  0.500

Results
Uncorrected energy = -72.96 eV/cell
Uncorrected formation energy = 2.19 eV per atom

***

No. 11
A plane-wave DFT calculation with SCAN was carried out for K2CaPt at its PBEsol-relaxed geometry.

Cell lengths 3.771, 3.771, 10.631 Å; angles 90.00, 90.00, 90.00 degrees
Space group P4mm (No. 99)
One atom of each set of equivalent atoms:
K  0.000  0.000  0.000
K  0.500  0.500  0.378
Ca  0.500  0.500  0.689
Pt  0.000  0.000  0.587

Results
Uncorrected energy = -97.63 eV/cell

***

No. 12
A plane-wave DFT calculation with SCAN was carried out for Bi2CSe2 at its PBEsol-relaxed geometry.

Cell lengths 6.373, 6.373, 6.566 Å; angles 90.00, 90.00, 90.00 degrees
Space group I4/mmm (No. 139)
One atom of each set of equivalent atoms:
Bi  0.000  0.500  0.250
C  0.000  0.000  0.000
Se  0.000  0.000  0.261

Results
Uncorrected energy = -405.85 eV/cell
Polymorph energy (0 for the lowest one) = 0.0 kJ/mol of atoms
Uncorrected formation energy = 0.90 eV per atom

***

Q: Look up the uncorrected energy of the twelfth one.
A: -405.85 eV/cell

***

Q: Which value of uncorrected energy does entry 7 give?
A: -561.18 eV/cell

***

Q: Look up the uncorrected energy of the second one.
A: -872.52 eV/cell